No. 1
This record from Alexandria describes a geometry-optimized Sb3W structure. The functional is PBE.

Cell lengths 9.5327, 3.4368, 5.7915 Å; angles 90.00, 101.36, 90.00 degrees
Last column: nearest neighbours and their distance in Å.
Space group C2/m (No. 12)
Unique sites:
1 Sb 0.0000 0.0000 0.0000 [2 per cell]  6 Sb 2.99-3.30
2 Sb 0.2264 0.0000 0.7083 [4 per cell]  3 W 2.84-3.08, 3 Sb 2.99-3.07
3 W 0.0000 0.5000 0.5000 [2 per cell]  6 Sb 2.84-3.08

Results
ρ = 9.8 g/cm3

No. 2
This record from Alexandria describes a geometry-optimized SbW structure. The functional is PBE.

Cell lengths 9.7246, 3.2862, 5.1234 Å; angles 90.00, 110.25, 90.00 degrees
Last column: nearest neighbours and their distance in Å.
Space group C2/m (No. 12)
Unique sites:
1 Sb 0.1089 0.0000 0.3228 [4 per cell]  5 W 2.75-2.96
2 W 0.1442 0.5000 0.8225 [4 per cell]  5 Sb 2.75-2.96, 2 W 2.77

Results
ρ = 13.2 g/cm3

No. 3
This record from Alexandria describes a geometry-optimized SbW structure. The functional is PBE.

Cell lengths 4.5352, 4.5352, 14.3929 Å; angles 90.00, 90.00, 120.00 degrees
Last column: nearest neighbours and their distance in Å.
Space group R-3m (No. 166, hexagonal axes)
Unique sites:
1 Sb 0.0000 0.0000 0.1076 [6 per cell]  7 W 2.93-3.17, 4 Sb 3.10-3.12
2 W 0.0000 0.0000 0.3167 [6 per cell]  3 W 2.66, 3 Sb 2.93

Results
ρ = 11.9 g/cm3

No. 4
This record from Alexandria describes a geometry-optimized SbW structure. The functional is PBE.

Cell lengths 8.7241, 3.2250, 7.1346 Å; angles 90.00, 97.93, 90.00 degrees
Last column: nearest neighbours and their distance in Å.
Space group C2/m (No. 12)
Unique sites:
1 Sb 0.1062 0.0000 0.2766 [4 per cell]  5 W 2.89-2.94, 2 Sb 3.22
2 W 0.1371 0.5000 0.9393 [4 per cell]  3 W 2.60-2.65, 1 Sb 2.89

Results
ρ = 10.2 g/cm3

No. 5
This record from Alexandria describes a geometry-optimized SbW structure. The functional is PBE.

Cell lengths 8.4933, 9.4317, 9.7019 Å; angles 90.00, 90.00, 90.00 degrees
Last column: nearest neighbours and their distance in Å.
Space group Fddd (No. 70, origin choice 2)
Unique sites:
1 Sb 0.0753 0.3750 0.3750 [16 per cell]  4 W 2.69-2.82
2 W 0.1250 0.1250 0.5008 [16 per cell]  1 W 2.41, 2 Sb 2.69

Results
ρ = 10.4 g/cm3

No. 6
This record from Alexandria describes a geometry-optimized SbW structure. The functional is PBE.

Cell lengths 5.4851, 6.8304, 9.0535 Å; angles 90.00, 90.00, 90.00 degrees
Last column: nearest neighbours and their distance in Å.
Space group P2_12_12_1 (No. 19)
Unique sites:
1 Sb 0.0909 0.1991 0.1697 [4 per cell]  5 W 2.78-3.08, 1 Sb 3.07
2 Sb 0.2312 0.4094 0.5417 [4 per cell]  6 W 2.74-3.00
3 W 0.0230 0.1230 0.7126 [4 per cell]  1 W 2.56, 2 Sb 2.74-2.81
4 W 0.2354 0.0174 0.4301 [4 per cell]  1 W 2.56, 5 Sb 2.78-2.86

Results
ρ = 12.0 g/cm3

No. 7
This record from Alexandria describes a geometry-optimized SbW structure. The functional is PBE.

Cell lengths 3.2107, 4.9009, 4.8200 Å; angles 90.00, 90.00, 90.00 degrees
Last column: nearest neighbours and their distance in Å.
Space group Pmmn (No. 59, origin choice 2)
Unique sites:
1 Sb 0.2500 0.2500 0.1169 [2 per cell]  6 W 2.80-2.96
2 W 0.2500 0.7500 0.3981 [2 per cell]  6 Sb 2.80-2.96, 4 W 3.09

Results
ρ = 13.4 g/cm3

No. 8
This record from Alexandria describes a geometry-optimized SbW structure. The functional is PBE.

Cell lengths 3.1478, 3.1478, 10.3984 Å; angles 90.00, 90.00, 120.00 degrees
Last column: nearest neighbours and their distance in Å.
Space group P-3m1 (No. 164)
Unique sites:
1 Sb 0.3333 0.6667 0.1834 [2 per cell]  3 W 2.97, 6 Sb 3.15
2 W 0.3333 0.6667 0.5912 [2 per cell]  3 W 2.63

Results
ρ = 11.4 g/cm3

Number 1: distance to the lowest polymorph of the same formula 0.317 eV/atom, uncorrected formation energy 0.61 eV/atom, uncorrected energy -5.718 eV per atom. Number 2: distance to the lowest polymorph of the same formula 0.231 eV/atom, uncorrected formation energy 0.50 eV/atom, uncorrected energy -8.036 eV per atom. Number 3: distance to the lowest polymorph of the same formula 0.314 eV/atom, uncorrected formation energy 0.58 eV/atom, uncorrected energy -7.954 eV per atom. Number 4: distance to the lowest polymorph of the same formula 0.232 eV/atom, uncorrected formation energy 0.50 eV/atom, uncorrected energy -8.035 eV per atom. Number 5: distance to the lowest polymorph of the same formula 0.545 eV/atom, uncorrected formation energy 0.82 eV/atom, uncorrected energy -7.722 eV per atom. Number 6: distance to the lowest polymorph of the same formula 0.464 eV/atom, uncorrected formation energy 0.73 eV/atom, uncorrected energy -7.804 eV per atom. Number 7: distance to the lowest polymorph of the same formula 0.303 eV/atom, uncorrected formation energy 0.57 eV/atom, uncorrected energy -7.964 eV per atom. Number 8: distance to the lowest polymorph of the same formula 0.089 eV/atom, uncorrected formation energy 0.36 eV/atom, uncorrected energy -8.179 eV per atom.